# 1
{"formula": "Ca2TcSCl", "functional": "GGA-PBE", "state": "relaxed", "lattice_angstrom": [[5.542, 0.000, 0.000], [0.000, 5.542, 0.000], [0.000, 0.000, 4.282]], "species": ["Ca", "Ca", "Tc", "S", "Cl"], "frac_coords": [[0.000, 0.500, 0.000], [0.500, 0.000, 0.000], [0.000, 0.000, 0.500], [0.000, 0.000, 0.000], [0.500, 0.500, 0.500]], "spacegroup": "P4/mmm, No. 123", "volume_a3_per_atom": 26.3, "dos_at_fermi_per_ev_cell": 2.9}

***

# 2
{"formula": "Be3NiMo", "functional": "GGA-PBE", "state": "relaxed", "lattice_angstrom": [[3.820, 0.000, 0.000], [0.000, 3.820, 0.000], [0.000, 0.000, 3.820]], "species": ["Be", "Be", "Be", "Ni", "Mo"], "frac_coords": [[0.000, 0.000, 0.500], [0.000, 0.500, 0.000], [0.500, 0.000, 0.000], [0.000, 0.000, 0.000], [0.500, 0.500, 0.500]], "spacegroup": "Pm-3m, No. 221", "e_above_lowest_polymorph_mev_per_atom": 0.0, "volume_a3_per_atom": 11.1, "formation_enthalpy_0k_mev_per_atom": 415, "dos_at_fermi_per_ev_cell": 1.8}

***

# 3
{"formula": "TcAgSb", "functional": "GGA-PBE", "state": "relaxed", "lattice_angstrom": [[4.538, 0.000, 0.000], [-2.269, 3.930, 0.000], [0.000, 0.000, 3.171]], "species": ["Tc", "Ag", "Sb"], "frac_coords": [[0.000, 0.000, 0.000], [0.667, 0.333, 0.504], [0.333, 0.667, 0.022]], "spacegroup": "P3m1, No. 156", "e_above_lowest_polymorph_mev_per_atom": 64.3, "volume_a3_per_atom": 18.9, "dos_at_fermi_per_ev_cell": 2.4}

***

# 4
{"formula": "FeRuW2", "functional": "GGA-PBE", "state": "relaxed", "lattice_angstrom": [[2.764, 0.000, 0.000], [0.000, 2.764, 0.000], [0.000, 0.000, 7.426]], "species": ["Fe", "Ru", "W", "W"], "frac_coords": [[0.000, 0.000, 0.000], [0.000, 0.000, 0.500], [0.500, 0.500, 0.236], [0.500, 0.500, 0.764]], "spacegroup": "P4/mmm, No. 123", "e_above_lowest_polymorph_mev_per_atom": 0.0, "volume_a3_per_atom": 14.2, "formation_enthalpy_0k_mev_per_atom": 111, "dos_at_fermi_per_ev_cell": 4.3}

***

# 5
{"formula": "Tl3CoHg", "functional": "GGA-PBE", "state": "relaxed", "lattice_angstrom": [[5.128, 0.000, 0.000], [0.000, 5.128, 0.000], [0.000, 0.000, 5.128]], "species": ["Tl", "Tl", "Tl", "Co", "Hg"], "frac_coords": [[0.000, 0.000, 0.500], [0.000, 0.500, 0.000], [0.500, 0.000, 0.000], [0.000, 0.000, 0.000], [0.500, 0.500, 0.500]], "spacegroup": "Pm-3m, No. 221", "e_above_lowest_polymorph_mev_per_atom": 0.0, "volume_a3_per_atom": 27.0, "formation_enthalpy_0k_mev_per_atom": 133, "dos_at_fermi_per_ev_cell": 1.8}

***

# 6
{"formula": "BaZr2Sc", "functional": "GGA-PBE", "state": "relaxed", "lattice_angstrom": [[3.349, 0.000, 0.000], [0.000, 5.176, 0.000], [-1.645, 0.000, 6.918]], "species": ["Ba", "Zr", "Zr", "Sc"], "frac_coords": [[0.000, 0.000, 0.000], [0.264, 0.000, 0.518], [0.350, 0.500, 0.697], [0.670, 0.500, 0.329]], "spacegroup": "Pm, No. 6", "e_above_lowest_polymorph_mev_per_atom": 80.1, "volume_a3_per_atom": 30.0, "formation_enthalpy_0k_mev_per_atom": 362, "dos_at_fermi_per_ev_cell": 5.3}

***

# 7
{"formula": "AsAu4Cl", "functional": "GGA-PBE", "state": "relaxed", "lattice_angstrom": [[0.000, 3.938, 3.938], [3.938, 0.000, 3.938], [3.938, 3.938, 0.000]], "species": ["As", "Au", "Au", "Au", "Au", "Cl"], "frac_coords": [[0.000, 0.000, 0.000], [0.125, 0.625, 0.625], [0.625, 0.125, 0.625], [0.625, 0.625, 0.125], [0.625, 0.625, 0.625], [0.250, 0.250, 0.250]], "spacegroup": "F-43m, No. 216", "volume_a3_per_atom": 20.4, "dos_at_fermi_per_ev_cell": 4.9}

***

# 8
{"formula": "CsTi3S", "functional": "GGA-PBE", "state": "relaxed", "lattice_angstrom": [[4.749, 0.000, 0.000], [0.000, 4.749, 0.000], [0.000, 0.000, 4.749]], "species": ["Cs", "Ti", "Ti", "Ti", "S"], "frac_coords": [[0.000, 0.000, 0.000], [0.000, 0.500, 0.500], [0.500, 0.000, 0.500], [0.500, 0.500, 0.000], [0.500, 0.500, 0.500]], "spacegroup": "Pm-3m, No. 221", "e_above_lowest_polymorph_mev_per_atom": 0.0, "volume_a3_per_atom": 21.4, "dos_at_fermi_per_ev_cell": 4.9}

***

Results for DFT total energy: -4.721 -5.143 -5.328 -10.800 -2.768 -5.975 -2.917 -5.309 (in eV per atom, following the order of the records).
Results for density: 3.10 5.41 9.62 15.35 10.75 5.05 12.21 4.78 (in g/cm³, following the order of the records).
Results for size of the total moment: 0.6 0.0 0.0 0.0 0.0 0.0 0.0 0.0 (in μB per formula unit, following the order of the records).